[1]
An optimized crystal structure of NdTiFe4. Source: Alexandria, functional PBE.

Lattice parameters (Å, degrees): 7.143 7.143 7.143 90.00 90.00 90.00
Space group F-43m (No. 216)
Asymmetric unit:
Nd 0.000 0.000 0.000
Ti 0.250 0.250 0.250
Fe 0.124 0.124 0.624

Results
Spin magnetization, μB per cell: 26.035
Total energy, Ha/atom: -0.2852
ΔE_f, eV/atom: -0.0074

=====

[2]
An optimized crystal structure of MnBe2Al. Source: Alexandria, functional PBE.

Lattice parameters (Å, degrees): 2.5796 2.5796 23.2724 90.00 90.00 120.00
Space group R-3m (No. 166, hexagonal axes)
Asymmetric unit:
Mn 0.0000 0.0000 0.0000
Be 0.0000 0.0000 0.2549
Al 0.0000 0.0000 0.5000

Results
Spin magnetization, μB per cell: 3.678
Total energy, Ha/atom: -0.1796
ΔE_f, eV/atom: 0.2044

=====

[3]
An optimized crystal structure of K3Np3HgS8. Source: Alexandria, functional PBE.

Lattice parameters (Å, degrees): 8.0532 8.0532 22.2389 90.00 90.00 120.00
Space group R-3m (No. 166, hexagonal axes)
Asymmetric unit:
K 0.0000 0.5000 0.0000
Np 0.0000 0.5000 0.5000
Hg 0.0000 0.0000 0.5000
S 0.0000 0.0000 0.2332
S 0.0148 0.5074 0.7671

Results
Spin magnetization, μB per cell: 30.001
Total energy, Ha/atom: -0.2276
Uncorrected formation energy, eV per atom: -1.165

=====

[4]
An optimized crystal structure of Ga2AsPb. Source: Alexandria, functional PBE.

Lattice parameters (Å, degrees): 6.214 6.214 11.741 90.00 90.00 90.00
Space group I-42d (No. 122)
Asymmetric unit:
Ga 0.212 0.250 0.125
As 0.000 0.000 0.000
Pb 0.000 0.000 0.500

Results
Spin magnetization, μB per cell: 0.000
Total energy, Ha/atom: -0.1320
ΔE_f, eV/atom: 0.0105

=====

[5]
An optimized crystal structure of Y2MgIrRh. Source: Alexandria, functional PBE.

Lattice parameters (Å, degrees): 5.167 5.167 4.706 90.00 90.00 90.00
Space group P4/mmm (No. 123)
Asymmetric unit:
Y 0.000 0.500 0.000
Mg 0.000 0.000 0.500
Ir 0.500 0.500 0.500
Rh 0.000 0.000 0.000

Results
Spin magnetization, μB per cell: 0.000
Total energy, Ha/atom: -0.2242
ΔE_f, eV/atom: 0.0464